The following is a DFT calculation (PBE) of a geometry-optimized AlCrPb structure.

Cell: 3.2797 3.2797 6.7491 Å, 90.00 90.00 120.00°
Fractional coordinates of all 3 atoms:
Al 0.0000 0.0000 0.0000
Cr 0.6667 0.3333 0.2822
Pb 0.3333 0.6667 0.6251

Calculated values
Crystal system = trigonal
Energy above the lowest structure with this stoichiometry = 13.0 kJ per mole of atoms
Density of states at the Fermi level = 2.2 states/eV/f.u.
V = 62.9 Å³ per cell
ΔE_f = 0.5056 eV/atom

=====

The following is a DFT calculation (PBE) of a geometry-optimized CaEuGdHo structure.

Cell: 5.8586 5.8586 5.8586 Å, 60.00 60.00 60.00°
Fractional coordinates of all 4 atoms:
Ca 0.0000 0.0000 0.0000
Eu 0.2500 0.2500 0.2500
Gd 0.7500 0.7500 0.7500
Ho 0.5000 0.5000 0.5000

Calculated values
Crystal system = cubic
Density of states at the Fermi level = 6.1 states/eV/f.u.
V = 142.2 Å³ per cell
ΔE_f = 0.1420 eV/atom

=====

The following is a DFT calculation (PBE) of a geometry-optimized NaBi2PPt structure.

Cell: 5.3435 5.3435 4.6746 Å, 90.00 90.00 90.00°
Fractional coordinates of all 5 atoms:
Na 0.0000 0.0000 0.0000
Bi 0.0000 0.5000 0.0000
Bi 0.5000 0.0000 0.0000
P 0.0000 0.0000 0.5000
Pt 0.5000 0.5000 0.5000

Calculated values
Crystal system = tetragonal
Density of states at the Fermi level = 3.3 states/eV/f.u.
V = 133.5 Å³ per cell
ΔE_f = 1.1422 eV/atom

=====

The following is a DFT calculation (PBE) of a geometry-optimized Ac4Hg2TeN2 structure.

Cell: 9.3546 9.3546 8.0969 Å, 112.18 112.18 26.41°
Fractional coordinates of all 9 atoms:
Ac 0.0517 0.0517 0.2541
Ac 0.2841 0.2841 0.3438
Ac 0.7159 0.7159 0.6562
Ac 0.9483 0.9483 0.7459
Hg 0.3757 0.3757 0.9855
Hg 0.6243 0.6243 0.0145
Te 0.5000 0.5000 0.5000
N 0.1806 0.1806 0.4729
N 0.8194 0.8194 0.5271

Calculated values
Crystal system = monoclinic
ΔE_f (raw) = -93 kJ/mol of atoms
Density of states at the Fermi level = 5.6 states/eV/f.u.
V = 290.5 Å³ per cell

=====

The following is a DFT calculation (PBE) of a geometry-optimized Ce6Ga3Sb structure.

Cell: 7.6042 8.0620 11.2299 Å, 90.00 128.58 90.00°
Fractional coordinates of all 20 atoms:
Ce 0.0101 0.1111 0.2355
Ce 0.0101 0.3889 0.7355
Ce 0.2072 0.1442 0.0806
Ce 0.2072 0.3558 0.5806
Ce 0.4336 0.6702 0.1060
Ce 0.4336 0.8298 0.6060
Ce 0.5664 0.1702 0.3940
Ce 0.5664 0.3298 0.8940
Ce 0.7928 0.6442 0.4194
Ce 0.7928 0.8558 0.9194
Ce 0.9899 0.6111 0.2645
Ce 0.9899 0.8889 0.7645
Ga 0.3308 0.6602 0.7940
Ga 0.3308 0.8398 0.2940
Ga 0.5000 0.0000 0.0000
Ga 0.5000 0.5000 0.5000
Ga 0.6692 0.1602 0.7060
Ga 0.6692 0.3398 0.2060
Sb 0.0000 0.0000 0.5000
Sb 0.0000 0.5000 0.0000

Calculated values
Crystal system = monoclinic
ΔE_f (raw) = -28 kJ/mol of atoms
Density of states at the Fermi level = 23.9 states/eV/f.u.
V = 538.2 Å³ per cell

=====

The following is a DFT calculation (PBE) of a geometry-optimized Ba2NiRuN structure.

Cell: 5.7481 5.7481 3.7894 Å, 90.00 90.00 90.00°
Fractional coordinates of all 5 atoms:
Ba 0.0000 0.5000 0.0000
Ba 0.5000 0.0000 0.0000
Ni 0.0000 0.0000 0.5000
Ru 0.5000 0.5000 0.5000
N 0.5000 0.5000 0.0000

Calculated values
Crystal system = tetragonal
ΔE_f (raw) = -1 kJ/mol of atoms
Density of states at the Fermi level = 3.9 states/eV/f.u.
V = 125.2 Å³ per cell

=====

The following is a DFT calculation (PBE) of a geometry-optimized CsTa3Ti structure.

Cell: 4.9901 4.9901 4.9901 Å, 90.00 90.00 90.00°
Fractional coordinates of all 5 atoms:
Cs 0.0000 0.0000 0.0000
Ta 0.0000 0.5000 0.5000
Ta 0.5000 0.0000 0.5000
Ta 0.5000 0.5000 0.0000
Ti 0.5000 0.5000 0.5000

Calculated values
Crystal system = cubic
Density of states at the Fermi level = 7.7 states/eV/f.u.
V = 124.3 Å³ per cell
ΔE_f = 1.9101 eV/atom

=====

The following is a DFT calculation (PBE) of a geometry-optimized KYAs2 structure.

Cell: 3.9085 7.7130 7.7130 Å, 29.53 90.00 90.00°
Fractional coordinates of all 4 atoms:
K 0.0000 0.0000 0.0000
Y 0.0000 0.2410 0.2410
As 0.5000 0.6484 0.6484
As 0.5000 0.8180 0.8180

Calculated values
Crystal system = orthorhombic
Energy above the lowest structure with this stoichiometry = 1.6 kJ per mole of atoms
Density of states at the Fermi level = 1.2 states/eV/f.u.
V = 114.6 Å³ per cell
ΔE_f = -0.7962 eV/atom

=====

The following is a DFT calculation (PBE) of a geometry-optimized CeHoMgTc structure.

Cell: 5.0481 5.0481 5.0481 Å, 60.00 60.00 60.00°
Fractional coordinates of all 4 atoms:
Ce 0.0000 0.0000 0.0000
Ho 0.5000 0.5000 0.5000
Mg 0.7500 0.7500 0.7500
Tc 0.2500 0.2500 0.2500

Calculated values
Crystal system = cubic
Energy above the lowest structure with this stoichiometry = 11.0 kJ per mole of atoms
Density of states at the Fermi level = 6.2 states/eV/f.u.
V = 91.0 Å³ per cell
ΔE_f = 0.0260 eV/atom

=====

The following is a DFT calculation (PBE) of a geometry-optimized SmEuTm2 structure.

Cell: 5.0948 5.0948 5.0450 Å, 90.00 90.00 90.00°
Fractional coordinates of all 4 atoms:
Sm 0.0000 0.0000 0.0000
Eu 0.5000 0.5000 0.0000
Tm 0.0000 0.5000 0.5000
Tm 0.5000 0.0000 0.5000

Calculated values
Crystal system = tetragonal
Energy above the lowest structure with this stoichiometry = 2.4 kJ per mole of atoms
Density of states at the Fermi level = 5.9 states/eV/f.u.
V = 131.0 Å³ per cell
ΔE_f = 0.0956 eV/atom

=====

The following is a DFT calculation (PBE) of a geometry-optimized Na4CeHg15 structure.

Cell: 4.7316 4.7316 23.3306 Å, 90.00 90.00 90.00°
Fractional coordinates of all 20 atoms:
Na 0.0000 0.0000 0.1000
Na 0.0000 0.0000 0.2987
Na 0.0000 0.0000 0.7013
Na 0.0000 0.0000 0.9000
Ce 0.0000 0.0000 0.5000
Hg 0.0000 0.5000 0.0000
Hg 0.0000 0.5000 0.2001
Hg 0.0000 0.5000 0.3993
Hg 0.0000 0.5000 0.6007
Hg 0.0000 0.5000 0.7999
Hg 0.5000 0.0000 0.0000
Hg 0.5000 0.0000 0.2001
Hg 0.5000 0.0000 0.3993
Hg 0.5000 0.0000 0.6007
Hg 0.5000 0.0000 0.7999
Hg 0.5000 0.5000 0.1000
Hg 0.5000 0.5000 0.3018
Hg 0.5000 0.5000 0.5000
Hg 0.5000 0.5000 0.6982
Hg 0.5000 0.5000 0.9000

Calculated values
Crystal system = tetragonal
Density of states at the Fermi level = 12.9 states/eV/f.u.
V = 522.3 Å³ per cell
ΔE_f = -0.2082 eV/atom

=====

The following is a DFT calculation (PBE) of a geometry-optimized Mn2IrAu structure.

Cell: 5.4863 5.4863 5.4863 Å, 103.49 103.49 122.23°
Fractional coordinates of all 8 atoms:
Mn 0.0830 0.6250 0.9580
Mn 0.3750 0.3330 0.4580
Mn 0.6670 0.1250 0.0420
Mn 0.8750 0.9170 0.5420
Ir 0.0000 0.0000 0.0000
Ir 0.7500 0.2500 0.5000
Au 0.2500 0.7500 0.5000
Au 0.5000 0.5000 0.0000

Calculated values
Crystal system = tetragonal
Energy above the lowest structure with this stoichiometry = 75.5 kJ per mole of atoms
Density of states at the Fermi level = 5.7 states/eV/f.u.
V = 122.3 Å³ per cell
ΔE_f = 0.7420 eV/atom

=====

The following is a DFT calculation (PBE) of a geometry-optimized NaInIrN2 structure.

Cell: 4.3677 4.3677 5.2694 Å, 90.00 90.00 90.00°
Fractional coordinates of all 5 atoms:
Na 0.0000 0.0000 0.0000
In 0.5000 0.5000 0.5000
Ir 0.5000 0.5000 0.0000
N 0.0000 0.5000 0.5000
N 0.5000 0.0000 0.5000

Calculated values
Crystal system = tetragonal
ΔE_f (raw) = 182 kJ/mol of atoms
Density of states at the Fermi level = 6.7 states/eV/f.u.
V = 100.5 Å³ per cell

=====

The following is a DFT calculation (PBE) of a geometry-optimized Mn2CrRuC structure.

Cell: 3.7772 3.7772 3.8697 Å, 90.00 90.00 90.00°
Fractional coordinates of all 5 atoms:
Mn 0.0000 0.5000 0.0000
Mn 0.5000 0.0000 0.0000
Cr 0.0000 0.0000 0.5000
Ru 0.5000 0.5000 0.5000
C 0.0000 0.0000 0.0000

Calculated values
Crystal system = tetragonal
Density of states at the Fermi level = 4.5 states/eV/f.u.
V = 55.2 Å³ per cell
ΔE_f = 0.0702 eV/atom

=====

The following is a DFT calculation (PBE) of a geometry-optimized Pm2Co5P4 structure.

Cell: 7.9935 6.9396 5.4234 Å, 79.53 58.62 41.85°
Fractional coordinates of all 11 atoms:
Pm 0.1390 0.1390 0.8610
Pm 0.8610 0.8610 0.1390
Co 0.0000 0.0000 0.5000
Co 0.2500 0.2500 0.2500
Co 0.5000 0.5000 0.0000
Co 0.5000 0.5000 0.5000
Co 0.7500 0.7500 0.7500
P 0.2134 0.5289 0.4711
P 0.4711 0.7866 0.2134
P 0.5289 0.2134 0.7866
P 0.7866 0.4711 0.5289

Calculated values
Crystal system = orthorhombic
Density of states at the Fermi level = 7.3 states/eV/f.u.
V = 159.7 Å³ per cell
ΔE_f = -0.8093 eV/atom

=====

The following is a DFT calculation (PBE) of a geometry-optimized NaLi2Zn structure.

Cell: 3.1512 3.1512 10.0871 Å, 99.49 99.49 59.46°
Fractional coordinates of all 4 atoms:
Na 0.0000 0.0000 0.0000
Li 0.5749 0.5749 0.7102
Li 0.7664 0.7664 0.2905
Zn 0.1704 0.1704 0.5003

Calculated values
Crystal system = monoclinic
Density of states at the Fermi level = 1.1 states/eV/f.u.
V = 84.7 Å³ per cell
ΔE_f = 0.0200 eV/atom

=====

The following is a DFT calculation (PBE) of a geometry-optimized OsRh2 structure.

Cell: 12.1720 12.1720 12.1720 Å, 167.18 167.18 18.17°
Fractional coordinates of all 6 atoms:
Os 0.3750 0.6250 0.7500
Os 0.6250 0.3750 0.2500
Rh 0.0481 0.7981 0.2500
Rh 0.2019 0.9519 0.2500
Rh 0.7981 0.0481 0.7500
Rh 0.9519 0.2019 0.7500

Calculated values
Crystal system = tetragonal
Energy above the lowest structure with this stoichiometry = 13.3 kJ per mole of atoms
Density of states at the Fermi level = 2.6 states/eV/f.u.
V = 88.8 Å³ per cell
ΔE_f = 0.1535 eV/atom

=====

The following is a DFT calculation (PBE) of a geometry-optimized SmBiAu6 structure.

Cell: 5.5637 5.5637 5.5637 Å, 90.00 90.00 90.00°
Fractional coordinates of all 8 atoms:
Sm 0.0000 0.0000 0.0000
Bi 0.5000 0.5000 0.5000
Au 0.0000 0.2481 0.5000
Au 0.0000 0.7519 0.5000
Au 0.2481 0.5000 0.0000
Au 0.5000 0.0000 0.2481
Au 0.5000 0.0000 0.7519
Au 0.7519 0.5000 0.0000

Calculated values
Crystal system = cubic
Density of states at the Fermi level = 1.9 states/eV/f.u.
V = 172.2 Å³ per cell
ΔE_f = -0.2800 eV/atom

=====

The following is a DFT calculation (PBE) of a geometry-optimized Co4Ir5 structure.

Cell: 6.9160 6.9160 6.9160 Å, 157.66 109.62 74.89°
Fractional coordinates of all 9 atoms:
Co 0.0006 0.1679 0.8327
Co 0.3352 0.1679 0.1673
Co 0.6648 0.8321 0.8327
Co 0.9994 0.8321 0.1673
Ir 0.0000 0.5000 0.5000
Ir 0.3271 0.5000 0.8271
Ir 0.3269 0.8269 0.5000
Ir 0.6731 0.1731 0.5000
Ir 0.6729 0.5000 0.1729

Calculated values
Crystal system = orthorhombic
Energy above the lowest structure with this stoichiometry = 0.0 kJ per mole of atoms
Density of states at the Fermi level = 14.1 states/eV/f.u.
V = 117.3 Å³ per cell
ΔE_f = 0.0549 eV/atom

=====

The following is a DFT calculation (PBE) of a geometry-optimized CaCoMo2 structure.

Cell: 5.9926 5.9926 5.9926 Å, 154.05 132.84 54.62°
Fractional coordinates of all 4 atoms:
Ca 0.0000 0.0000 0.0000
Co 0.5000 0.5000 0.0000
Mo 0.2969 0.7969 0.5000
Mo 0.7031 0.2031 0.5000

Calculated values
Crystal system = orthorhombic
Energy above the lowest structure with this stoichiometry = 2.5 kJ per mole of atoms
Density of states at the Fermi level = 3.9 states/eV/f.u.
V = 68.7 Å³ per cell
ΔE_f = 0.4499 eV/atom